(1)
Ba3Sr4Ca5 | PBE-GGA | relaxed

- ΔE_f: 0.0510 eV/atom
- D(E_F): 16.28 states/eV per cell

Cell lengths 7.2438, 10.1738, 10.2695 Å; angles 64.49, 69.94, 70.63 degrees
Fractional coordinates of all 12 atoms:
Ba: 0.0000 0.0000 0.0000
Ba: 0.2467 0.3648 0.6324
Ba: 0.7533 0.6352 0.3676
Sr: 0.0413 0.3043 0.1426
Sr: 0.1385 0.8512 0.4062
Sr: 0.8615 0.1488 0.5938
Sr: 0.9587 0.6957 0.8574
Ca: 0.3899 0.5897 0.1433
Ca: 0.4663 0.8595 0.6942
Ca: 0.5000 0.0000 0.0000
Ca: 0.5337 0.1405 0.3058
Ca: 0.6101 0.4103 0.8567

(2)
Ba3Sr2Ca2 | PBE-GGA | relaxed

- ΔE_f: 0.0565 eV/atom
- D(E_F): 9.69 states/eV per cell

Cell lengths 10.2222, 10.2222, 10.5898 Å; angles 118.12, 118.12, 23.22 degrees
Fractional coordinates of all 7 atoms:
Ba: 0.0000 0.0000 0.0000
Ba: 0.0772 0.0772 0.4316
Ba: 0.9228 0.9228 0.5684
Sr: 0.3519 0.3519 0.1555
Sr: 0.6481 0.6481 0.8445
Ca: 0.2926 0.2926 0.7127
Ca: 0.7074 0.7074 0.2873

(3)
Ba2Sr12Ca | PBE-GGA | relaxed

- ΔE_f: 0.2197 eV/atom
- D(E_F): 37.26 states/eV per cell

Cell lengths 7.8396, 7.8396, 29.6497 Å; angles 90.00, 90.00, 90.00 degrees
Fractional coordinates of all 30 atoms:
Ba: 0.2500 0.7500 0.2220
Ba: 0.2500 0.7500 0.7780
Ba: 0.7500 0.2500 0.2220
Ba: 0.7500 0.2500 0.7780
Sr: 0.0037 0.5037 0.3999
Sr: 0.0037 0.9963 0.6001
Sr: 0.0745 0.5745 0.9389
Sr: 0.0745 0.9255 0.0611
Sr: 0.2500 0.2500 0.1599
Sr: 0.2500 0.2500 0.2944
Sr: 0.2500 0.2500 0.7056
Sr: 0.2500 0.2500 0.8401
Sr: 0.4255 0.5745 0.0611
Sr: 0.4255 0.9255 0.9389
Sr: 0.4963 0.5037 0.6001
Sr: 0.4963 0.9963 0.3999
Sr: 0.5037 0.0037 0.6001
Sr: 0.5037 0.4963 0.3999
Sr: 0.5745 0.0745 0.0611
Sr: 0.5745 0.4255 0.9389
Sr: 0.7500 0.7500 0.1599
Sr: 0.7500 0.7500 0.2944
Sr: 0.7500 0.7500 0.7056
Sr: 0.7500 0.7500 0.8401
Sr: 0.9255 0.0745 0.9389
Sr: 0.9255 0.4255 0.0611
Sr: 0.9963 0.0037 0.3999
Sr: 0.9963 0.4963 0.6001
Ca: 0.2500 0.7500 0.5000
Ca: 0.7500 0.2500 0.5000

(4)
Ba6Sr3Ca | PBE-GGA | relaxed

- ΔE_f: 0.1098 eV/atom
- D(E_F): 21.55 states/eV per cell

Cell lengths 11.6335, 11.6335, 11.6335 Å; angles 64.82, 64.82, 64.82 degrees
Fractional coordinates of all 20 atoms:
Ba: 0.0057 0.0057 0.6696
Ba: 0.0057 0.6696 0.0057
Ba: 0.2389 0.2389 0.6116
Ba: 0.2389 0.6116 0.2389
Ba: 0.3304 0.9943 0.9943
Ba: 0.3884 0.7611 0.7611
Ba: 0.6116 0.2389 0.2389
Ba: 0.6696 0.0057 0.0057
Ba: 0.7611 0.3884 0.7611
Ba: 0.7611 0.7611 0.3884
Ba: 0.9943 0.3304 0.9943
Ba: 0.9943 0.9943 0.3304
Sr: 0.0739 0.6392 0.6392
Sr: 0.3608 0.3608 0.9261
Sr: 0.3608 0.9261 0.3608
Sr: 0.6392 0.0739 0.6392
Sr: 0.6392 0.6392 0.0739
Sr: 0.9261 0.3608 0.3608
Ca: 0.0000 0.0000 0.0000
Ca: 0.5000 0.5000 0.5000

(5)
Ba8Sr3Ca2 | PBE-GGA | relaxed

- ΔE_f: 0.1847 eV/atom
- D(E_F): 19.92 states/eV per cell

Cell lengths 15.4158, 15.4158, 15.4158 Å; angles 30.09, 30.09, 30.09 degrees
Fractional coordinates of all 13 atoms:
Ba: 0.2228 0.2228 0.2228
Ba: 0.2250 0.2250 0.7292
Ba: 0.2250 0.7292 0.2250
Ba: 0.2708 0.7750 0.7750
Ba: 0.7292 0.2250 0.2250
Ba: 0.7750 0.2708 0.7750
Ba: 0.7750 0.7750 0.2708
Ba: 0.7772 0.7772 0.7772
Sr: 0.3155 0.3155 0.3155
Sr: 0.5000 0.5000 0.5000
Sr: 0.6845 0.6845 0.6845
Ca: 0.1355 0.1355 0.1355
Ca: 0.8645 0.8645 0.8645

(6)
Ba12SrCa2 | PBE-GGA | relaxed

- ΔE_f: 0.2599 eV/atom
- D(E_F): 54.62 states/eV per cell

Cell lengths 7.7094, 7.7094, 32.3923 Å; angles 90.00, 90.00, 90.00 degrees
Fractional coordinates of all 30 atoms:
Ba: 0.0511 0.5511 0.1112
Ba: 0.0511 0.9489 0.8888
Ba: 0.0667 0.5667 0.5580
Ba: 0.0667 0.9333 0.4420
Ba: 0.2500 0.2500 0.2149
Ba: 0.2500 0.2500 0.3382
Ba: 0.2500 0.2500 0.6618
Ba: 0.2500 0.2500 0.7851
Ba: 0.4333 0.5667 0.4420
Ba: 0.4333 0.9333 0.5580
Ba: 0.4489 0.5511 0.8888
Ba: 0.4489 0.9489 0.1112
Ba: 0.5511 0.0511 0.8888
Ba: 0.5511 0.4489 0.1112
Ba: 0.5667 0.0667 0.4420
Ba: 0.5667 0.4333 0.5580
Ba: 0.7500 0.7500 0.2149
Ba: 0.7500 0.7500 0.3382
Ba: 0.7500 0.7500 0.6618
Ba: 0.7500 0.7500 0.7851
Ba: 0.9333 0.0667 0.5580
Ba: 0.9333 0.4333 0.4420
Ba: 0.9489 0.0511 0.1112
Ba: 0.9489 0.4489 0.8888
Sr: 0.2500 0.7500 0.0000
Sr: 0.7500 0.2500 0.0000
Ca: 0.2500 0.7500 0.2752
Ca: 0.2500 0.7500 0.7248
Ca: 0.7500 0.2500 0.2752
Ca: 0.7500 0.2500 0.7248